Computed, not measured: Pa4Co4Ni after structural relaxation at the PBE-GGA level of DFT.

Cell: 4.937 8.104 8.104 Å, 90.00 90.00 90.00°
Fractional coordinates of all 18 atoms:
Pa: 0.049 0.523 0.191
Pa: 0.049 0.977 0.309
Pa: 0.549 0.809 0.023
Pa: 0.549 0.691 0.477
Pa: 0.951 0.477 0.809
Pa: 0.951 0.023 0.691
Pa: 0.451 0.191 0.977
Pa: 0.451 0.309 0.523
Co: 0.031 0.661 0.491
Co: 0.031 0.839 0.009
Co: 0.531 0.509 0.161
Co: 0.531 0.991 0.339
Co: 0.969 0.339 0.509
Co: 0.969 0.161 0.991
Co: 0.469 0.491 0.839
Co: 0.469 0.009 0.661
Ni: 0.750 0.250 0.250
Ni: 0.250 0.750 0.750

Calculated values
The space-group type is P4_2/n, No. 86. The formation enthalpy at 0 K comes out at -266 kJ/mol of formula units.